Record 1
DFT (GGA-PBE) results for crystalline KBeCo2 at its relaxed geometry.

Lattice parameters (Å, degrees): 8.4141 8.4141 8.4141 148.25 148.25 45.52
With the nearest neighbours (Å) after each atom.
Fractional coordinates of all 8 atoms:
1 K 0.3750 0.6250 0.7500  8 Co 3.22, 4 Be 3.25
2 K 0.6250 0.3750 0.2500  8 Co 3.22, 4 Be 3.25
3 Be 0.1250 0.8750 0.2500  4 Co 2.26
4 Be 0.8750 0.1250 0.7500  4 Co 2.26
5 Co 0.0000 0.0000 0.0000  2 Be 2.26, 2 Co 2.30
6 Co 0.0000 0.0000 0.5000  2 Be 2.26, 2 Co 2.30
7 Co 0.0000 0.5000 0.0000  2 Be 2.26, 2 Co 2.30
8 Co 0.5000 0.0000 0.5000  2 Be 2.26, 2 Co 2.30

Computed properties:
electronic total energy: -15.3 eV per formula unit
SG: I4_1/amd (141)
ΔE_f: 0.94 eV/atom
N(E_F): 12.27 states/eV per cell

=====

Record 2
DFT (GGA-PBE) results for crystalline KBe2Co at its relaxed geometry.

Lattice parameters (Å, degrees): 2.6570 3.6231 7.0005 90.00 90.30 90.00
With the nearest neighbours (Å) after each atom.
Fractional coordinates of all 4 atoms:
1 K 0.0000 0.0000 0.0000  2 K 2.66
2 Be 0.4990 0.5000 0.3769  2 Co 2.09, 2 Be 2.30
3 Be 0.5013 0.0000 0.5788  4 Co 2.25-2.26, 2 Be 2.30
4 Co 0.0020 0.5000 0.6067  6 Be 2.09-2.26

Computed properties:
electronic total energy: -13.7 eV per formula unit
SG: Pm (6)
ΔE_f: 0.48 eV/atom
E above lowest polymorph: 207 meV per atom
N(E_F): 1.77 states/eV per cell

=====

Record 3
DFT (GGA-PBE) results for crystalline K4BeCo at its relaxed geometry.

Lattice parameters (Å, degrees): 7.2715 7.2715 7.2715 60.00 60.00 60.00
With the nearest neighbours (Å) after each atom.
Fractional coordinates of all 6 atoms:
1 K 0.1251 0.1251 0.1251  6 K 3.63-3.64
2 K 0.1251 0.1251 0.6248  6 K 3.63-3.64
3 K 0.1251 0.6248 0.1251  6 K 3.63-3.64
4 K 0.6248 0.1251 0.1251  6 K 3.63-3.64
5 Be 0.7500 0.7500 0.7500  12 K 4.26, 4 Co 4.45
6 Co 0.5000 0.5000 0.5000  12 K 4.26, 4 Be 4.45

Computed properties:
electronic total energy: -7.8 eV per formula unit
SG: F-43m (216)
ΔE_f: 1.23 eV/atom
N(E_F): 9.72 states/eV per cell

=====

Record 4
DFT (GGA-PBE) results for crystalline KBe2Co at its relaxed geometry.

Lattice parameters (Å, degrees): 4.4285 4.4285 4.4285 60.00 60.00 60.00
With the nearest neighbours (Å) after each atom.
Fractional coordinates of all 4 atoms:
1 K 0.0000 0.0000 0.0000  8 Be 2.71
2 Be 0.2500 0.2500 0.2500  4 Co 2.71, 4 K 2.71
3 Be 0.7500 0.7500 0.7500  4 Co 2.71, 4 K 2.71
4 Co 0.5000 0.5000 0.5000  8 Be 2.71

Computed properties:
electronic total energy: -10.4 eV per formula unit
SG: Fm-3m (225)
ΔE_f: 1.32 eV/atom
E above lowest polymorph: 1045 meV per atom
N(E_F): 2.58 states/eV per cell

=====

Record 5
DFT (GGA-PBE) results for crystalline KBeCo2 at its relaxed geometry.

Lattice parameters (Å, degrees): 2.6766 3.2698 7.3560 90.00 90.00 90.00
With the nearest neighbours (Å) after each atom.
Fractional coordinates of all 4 atoms:
1 K 0.0000 0.0000 0.0000  2 K 2.68
2 Be 0.5000 0.5000 0.3605  5 Co 2.12-2.30
3 Co 0.0000 0.0000 0.4849  4 Be 2.30, 4 Co 2.43
4 Co 0.5000 0.5000 0.6481  1 Be 2.12

Computed properties:
electronic total energy: -16.9 eV per formula unit
SG: Pmm2 (25)
ΔE_f: 0.54 eV/atom
N(E_F): 2.53 states/eV per cell

=====

Record 6
DFT (GGA-PBE) results for crystalline KBeCo2 at its relaxed geometry.

Lattice parameters (Å, degrees): 8.9358 8.9358 8.9358 17.20 17.20 17.20
With the nearest neighbours (Å) after each atom.
Fractional coordinates of all 4 atoms:
1 K 0.0000 0.0000 0.0000  6 K 2.67
2 Be 0.5000 0.5000 0.5000  6 Co 2.25
3 Co 0.2286 0.2286 0.2286  3 Be 2.25
4 Co 0.7714 0.7714 0.7714  3 Be 2.25

Computed properties:
electronic total energy: -16.0 eV per formula unit
SG: R-3m (166)
ΔE_f: 0.75 eV/atom
N(E_F): 2.43 states/eV per cell

=====

Record 7
DFT (GGA-PBE) results for crystalline K2BeCo2 at its relaxed geometry.

Lattice parameters (Å, degrees): 9.7240 9.7240 2.6150 90.00 90.00 90.00
With the nearest neighbours (Å) after each atom.
Fractional coordinates of all 10 atoms:
1 K 0.1412 0.3588 0.0000  2 K 2.61
2 K 0.3588 0.8588 0.0000  2 K 2.61
3 K 0.6412 0.1412 0.0000  2 K 2.61
4 K 0.8588 0.6412 0.0000  2 K 2.61
5 Be 0.0000 0.0000 0.0000  2 Be 2.61
6 Be 0.5000 0.5000 0.0000  2 Be 2.61
7 Co 0.1610 0.6610 0.5000  2 Co 2.61
8 Co 0.3390 0.1610 0.5000  2 Co 2.61
9 Co 0.6610 0.8390 0.5000  2 Co 2.61
10 Co 0.8390 0.3390 0.5000  2 Co 2.61

Computed properties:
electronic total energy: -12.2 eV per formula unit
SG: P4/mbm (127)
ΔE_f: 1.60 eV/atom
E above lowest polymorph: 661 meV per atom
N(E_F): 10.80 states/eV per cell

=====

Record 8
DFT (GGA-PBE) results for crystalline KBe2Co at its relaxed geometry.

Lattice parameters (Å, degrees): 3.7782 3.7782 6.3028 108.26 108.26 60.34
With the nearest neighbours (Å) after each atom.
Fractional coordinates of all 4 atoms:
1 K 0.0000 0.0000 0.0000  2 Be 3.07
2 Be 0.1740 0.1740 0.5218  3 Co 2.18-2.19, 3 Be 2.19-2.21
3 Be 0.8260 0.8260 0.4782  3 Co 2.18-2.19, 3 Be 2.19-2.21
4 Co 0.5000 0.5000 0.5000  6 Be 2.18-2.19

Computed properties:
electronic total energy: -14.3 eV per formula unit
SG: C2/m (12)
ΔE_f: 0.34 eV/atom
E above lowest polymorph: 65 meV per atom
N(E_F): 3.64 states/eV per cell

=====

Record 9
DFT (GGA-PBE) results for crystalline KBe2Co at its relaxed geometry.

Lattice parameters (Å, degrees): 2.9248 2.9248 7.3768 90.00 90.00 90.00
With the nearest neighbours (Å) after each atom.
Fractional coordinates of all 4 atoms:
1 K 0.0000 0.0000 0.0000  4 K 2.92
2 Be 0.0000 0.0000 0.5438  4 Co 2.20, 4 Be 2.42
3 Be 0.5000 0.5000 0.3739  1 Co 2.01
4 Co 0.5000 0.5000 0.6458  5 Be 2.01-2.20

Computed properties:
electronic total energy: -13.2 eV per formula unit
SG: P4mm (99)
ΔE_f: 0.60 eV/atom
E above lowest polymorph: 326 meV per atom
N(E_F): 1.77 states/eV per cell

=====

Record 10
DFT (GGA-PBE) results for crystalline KBeCo2 at its relaxed geometry.

Lattice parameters (Å, degrees): 4.1083 4.1083 6.8029 96.25 96.25 38.40
With the nearest neighbours (Å) after each atom.
Fractional coordinates of all 4 atoms:
1 K 0.0000 0.0000 0.0000  2 K 2.70
2 Be 0.5000 0.5000 0.5000  6 Co 2.25-2.44
3 Co 0.2173 0.2173 0.6233  3 Be 2.25-2.44, 2 Co 2.26
4 Co 0.7827 0.7827 0.3767  3 Be 2.25-2.44, 2 Co 2.26

Computed properties:
electronic total energy: -16.5 eV per formula unit
SG: C2/m (12)
ΔE_f: 0.64 eV/atom
N(E_F): 5.20 states/eV per cell

=====

Record 11
DFT (GGA-PBE) results for crystalline KBeCo2 at its relaxed geometry.

Lattice parameters (Å, degrees): 4.9495 4.9495 4.9495 133.86 133.86 67.31
With the nearest neighbours (Å) after each atom.
Fractional coordinates of all 4 atoms:
1 K 0.0000 0.0000 0.0000  4 Be 2.74, 8 Co 2.83
2 Be 0.5000 0.5000 0.0000  4 K 2.74, 8 Co 2.83
3 Co 0.2500 0.7500 0.5000  4 Co 2.74, 4 Be 2.83, 4 K 2.83
4 Co 0.7500 0.2500 0.5000  4 Co 2.74, 4 Be 2.83, 4 K 2.83

Computed properties:
electronic total energy: -13.5 eV per formula unit
SG: I4/mmm (139)
ΔE_f: 1.38 eV/atom
N(E_F): 4.87 states/eV per cell

=====

Record 12
DFT (GGA-PBE) results for crystalline KBeCo2 at its relaxed geometry.

Lattice parameters (Å, degrees): 5.7679 5.7679 5.7679 154.31 124.42 62.20
With the nearest neighbours (Å) after each atom.
Fractional coordinates of all 4 atoms:
1 K 0.0000 0.0000 0.0000  2 K 2.56
2 Be 0.6926 0.1926 0.5000  2 Co 2.22
3 Co 0.3097 0.8097 0.5000  4 Co 2.36-2.56
4 Co 0.5097 0.5097 0.0000  2 Be 2.22, 2 Co 2.36

Computed properties:
electronic total energy: -15.3 eV per formula unit
SG: Imm2 (44)
ΔE_f: 0.94 eV/atom
N(E_F): 3.76 states/eV per cell

=====

Record 13
DFT (GGA-PBE) results for crystalline KBe2Co at its relaxed geometry.

Lattice parameters (Å, degrees): 4.7243 4.7243 2.5771 90.00 90.00 90.00
With the nearest neighbours (Å) after each atom.
Fractional coordinates of all 4 atoms:
1 K 0.0000 0.0000 0.0000  2 K 2.58, 8 Be 2.69
2 Be 0.0000 0.5000 0.5000  2 Be 2.58, 4 K 2.69, 4 Co 2.69
3 Be 0.5000 0.0000 0.5000  2 Be 2.58, 4 K 2.69, 4 Co 2.69
4 Co 0.5000 0.5000 0.0000  2 Co 2.58, 8 Be 2.69

Computed properties:
electronic total energy: -11.0 eV per formula unit
SG: P4/mmm (123)
ΔE_f: 1.17 eV/atom
E above lowest polymorph: 888 meV per atom
N(E_F): 1.62 states/eV per cell

=====

Record 14
DFT (GGA-PBE) results for crystalline KBe3Co at its relaxed geometry.

Lattice parameters (Å, degrees): 4.4401 4.4401 4.4401 90.00 90.00 90.00
With the nearest neighbours (Å) after each atom.
Fractional coordinates of all 5 atoms:
1 K 0.0000 0.0000 0.0000  6 Be 2.22
2 Be 0.0000 0.0000 0.5000  2 K 2.22
3 Be 0.0000 0.5000 0.0000  2 K 2.22
4 Be 0.5000 0.0000 0.0000  2 K 2.22
5 Co 0.5000 0.5000 0.5000  12 Be 3.14

Computed properties:
electronic total energy: -4.9 eV per formula unit
SG: Pm-3m (221)
ΔE_f: 2.89 eV/atom
E above lowest polymorph: 2276 meV per atom
N(E_F): 3.29 states/eV per cell

=====

Record 15
DFT (GGA-PBE) results for crystalline KBeCo2 at its relaxed geometry.

Lattice parameters (Å, degrees): 5.2538 5.2538 2.5421 99.00 99.00 118.21
With the nearest neighbours (Å) after each atom.
Fractional coordinates of all 4 atoms:
1 K 0.0000 0.0000 0.0000  2 K 2.54, 2 Be 2.70, 4 Co 2.73
2 Be 0.5000 0.5000 0.0000  2 Be 2.54, 2 K 2.70, 4 Co 2.73
3 Co 0.0000 0.5000 0.5000  4 Co 2.54-2.70, 2 K 2.73, 2 Be 2.73
4 Co 0.5000 0.0000 0.5000  4 Co 2.54-2.70, 2 K 2.73, 2 Be 2.73

Computed properties:
electronic total energy: -14.2 eV per formula unit
SG: C2/m (12)
ΔE_f: 1.21 eV/atom
N(E_F): 4.26 states/eV per cell

=====

Record 16
DFT (GGA-PBE) results for crystalline KBeCo2 at its relaxed geometry.

Lattice parameters (Å, degrees): 3.8583 3.8583 4.1113 90.00 90.00 90.00
With the nearest neighbours (Å) after each atom.
Fractional coordinates of all 4 atoms:
1 K 0.0000 0.0000 0.0000  4 Be 2.73, 8 Co 2.82
2 Be 0.5000 0.5000 0.0000  4 K 2.73, 8 Co 2.82
3 Co 0.0000 0.5000 0.5000  4 Co 2.73, 4 K 2.82, 4 Be 2.82
4 Co 0.5000 0.0000 0.5000  4 Co 2.73, 4 K 2.82, 4 Be 2.82

Computed properties:
electronic total energy: -13.4 eV per formula unit
SG: P4/mmm (123)
ΔE_f: 1.40 eV/atom
N(E_F): 5.40 states/eV per cell

=====

Record 17
DFT (GGA-PBE) results for crystalline KBe2Co at its relaxed geometry.

Lattice parameters (Å, degrees): 5.6842 5.6842 5.6842 152.51 120.46 66.79
With the nearest neighbours (Å) after each atom.
Fractional coordinates of all 4 atoms:
1 K 0.0000 0.0000 0.0000  2 K 2.70
2 Be 0.3309 0.8309 0.5000  2 Co 2.10
3 Be 0.6691 0.1691 0.5000  2 Co 2.10
4 Co 0.5000 0.5000 0.0000  4 Be 2.10

Computed properties:
electronic total energy: -12.2 eV per formula unit
SG: Immm (71)
ΔE_f: 0.86 eV/atom
E above lowest polymorph: 585 meV per atom
N(E_F): 2.94 states/eV per cell

=====

Record 18
DFT (GGA-PBE) results for crystalline KBe3Co at its relaxed geometry.

Lattice parameters (Å, degrees): 4.2777 4.2777 4.2777 90.00 90.00 90.00
With the nearest neighbours (Å) after each atom.
Fractional coordinates of all 5 atoms:
1 K 0.0000 0.0000 0.0000  12 Be 3.02
2 Be 0.0000 0.5000 0.5000  2 Co 2.14
3 Be 0.5000 0.0000 0.5000  2 Co 2.14
4 Be 0.5000 0.5000 0.0000  2 Co 2.14
5 Co 0.5000 0.5000 0.5000  6 Be 2.14

Computed properties:
electronic total energy: -16.3 eV per formula unit
SG: Pm-3m (221)
ΔE_f: 0.61 eV/atom
E above lowest polymorph: 0 meV per atom
N(E_F): 1.96 states/eV per cell

=====

Record 19
DFT (GGA-PBE) results for crystalline KBeCo2 at its relaxed geometry.

Lattice parameters (Å, degrees): 2.5758 4.8049 4.8641 90.00 90.00 90.00
With the nearest neighbours (Å) after each atom.
Fractional coordinates of all 4 atoms:
1 K 0.0000 0.0000 0.0000  2 K 2.58, 4 Co 2.73, 4 Be 2.75
2 Be 0.5000 0.0000 0.5000  2 Be 2.58, 4 Co 2.73, 4 K 2.75
3 Co 0.0000 0.5000 0.5000  6 Co 2.58-2.75, 4 Be 2.73
4 Co 0.5000 0.5000 0.0000  6 Co 2.58-2.75, 4 K 2.73

Computed properties:
electronic total energy: -14.2 eV per formula unit
SG: Pmmm (47)
ΔE_f: 1.22 eV/atom
N(E_F): 4.12 states/eV per cell

=====

Record 20
DFT (GGA-PBE) results for crystalline KBeCo2 at its relaxed geometry.

Lattice parameters (Å, degrees): 5.5548 5.5548 5.5548 153.89 124.72 62.13
With the nearest neighbours (Å) after each atom.
Fractional coordinates of all 4 atoms:
1 K 0.0000 0.0000 0.0000  2 K 2.51
2 Be 0.5000 0.5000 0.0000  4 Co 2.25, 2 Be 2.51
3 Co 0.3034 0.8034 0.5000  2 Be 2.25, 2 Co 2.51
4 Co 0.6966 0.1966 0.5000  2 Be 2.25, 2 Co 2.51

Computed properties:
electronic total energy: -15.5 eV per formula unit
SG: Immm (71)
ΔE_f: 0.87 eV/atom
N(E_F): 4.79 states/eV per cell

=====

no.,size of the total moment (Bohr magnetons per cell)
1,5.56
2,0.00
3,1.69
4,0.00
5,2.52
6,1.58
7,6.64
8,0.00
9,0.00
10,2.67
11,2.89
12,2.88
13,1.06
14,0.00
15,2.85
16,2.54
17,0.27
18,0.00
19,3.06
20,2.58